[1]
RbThSeS: relaxed, PBE.

Calculated values
calculated total energy	-0.204	Ha/atom
formation energy without anion corrections	-1.55	eV/atom

Cell: 4.1575 4.1575 8.5797 Å, 90.01 104.02 119.99°
Atoms (fractional coordinates):
Rb 0.9675 0.3819 0.3644
Se 0.1087 0.9524 0.0764
Th 0.2989 0.5473 0.8615
S 0.5028 0.1492 0.6674


[2]
Co2Ni6Pt: relaxed, PBE.

Calculated values
calculated total energy	-0.225	Ha/atom
formation energy	-0.02	eV per atom

Cell: 3.5711 4.3924 7.6111 Å, 73.36 76.43 66.01°
Site moments in Bohr magnetons follow the coordinates.
Atoms (fractional coordinates):
Co 0.6743 0.3855 0.2659  1.78
Co 0.3257 0.6145 0.7341  1.78
Ni 0.6656 0.0494 0.6194  0.69
Ni 0.9988 0.1641 0.8383  0.69
Ni 0.6666 0.7190 0.9477  0.70
Ni 0.3344 0.9506 0.3806  0.69
Ni 0.0012 0.8359 0.1617  0.69
Ni 0.3334 0.2810 0.0523  0.70
Pt 0.0000 0.5000 0.5000  0.31


Which value of calculated total energy does entry 2 give?
-0.225 Ha/atom


Which value of calculated total energy does entry 2 give?
-0.225 Ha/atom


Which value of calculated total energy does entry 1 give?
-0.204 Ha/atom